Entry 1:
An optimized crystal structure of Pr2SmAg4, computed with GGA-PBE.

Cell: 7.5359 7.5359 7.5359 Å, 137.31 137.31 61.96°
Sites, in units of the cell vectors:
Pr (0.2188, 0.2188, 0.0000)
Pr (0.7812, 0.7812, 0.0000)
Sm (0.5000, 0.5000, 0.0000)
Ag (0.1154, 0.6154, 0.5000)
Ag (0.3846, 0.8846, 0.5000)
Ag (0.6154, 0.1154, 0.5000)
Ag (0.8846, 0.3846, 0.5000)

DOS at the Fermi energy, states/eV/atom: 0.96
Energy relative to the elements, eV/atom: -0.088
Total magnetic moment, Bohr magnetons per cell: 0.000

***

Entry 2:
An optimized crystal structure of Pr5Sm4Ag, computed with GGA-PBE.

Cell: 3.6921 3.6921 24.6649 Å, 90.00 90.00 90.00°
Sites, in units of the cell vectors:
Pr (0.0000, 0.0000, 0.0000)
Pr (0.0000, 0.0000, 0.2101)
Pr (0.0000, 0.0000, 0.4193)
Pr (0.0000, 0.0000, 0.5807)
Pr (0.0000, 0.0000, 0.7899)
Sm (0.5000, 0.5000, 0.1049)
Sm (0.5000, 0.5000, 0.3138)
Sm (0.5000, 0.5000, 0.6862)
Sm (0.5000, 0.5000, 0.8951)
Ag (0.5000, 0.5000, 0.5000)

DOS at the Fermi energy, states/eV/atom: 1.44
Energy relative to the elements, eV/atom: -0.031
Total magnetic moment, Bohr magnetons per cell: 0.000

***

Entry 3:
An optimized crystal structure of Pr3SmAg3, computed with GGA-PBE.

Cell: 7.5377 7.5377 7.2275 Å, 90.59 90.59 94.16°
Sites, in units of the cell vectors:
Pr (0.1784, 0.8216, 0.0000)
Pr (0.2705, 0.7295, 0.5000)
Pr (0.3597, 0.3597, 0.1251)
Pr (0.6403, 0.6403, 0.8749)
Pr (0.7295, 0.2705, 0.5000)
Pr (0.8216, 0.1784, 0.0000)
Sm (0.2534, 0.2534, 0.6351)
Sm (0.7466, 0.7466, 0.3649)
Ag (0.0034, 0.5152, 0.7683)
Ag (0.0663, 0.0663, 0.3204)
Ag (0.4848, 0.9966, 0.2317)
Ag (0.5152, 0.0034, 0.7683)
Ag (0.9337, 0.9337, 0.6796)
Ag (0.9966, 0.4848, 0.2317)

DOS at the Fermi energy, states/eV/atom: 0.93
Energy relative to the elements, eV/atom: -0.110
Total magnetic moment, Bohr magnetons per cell: 0.000

***

Entry 4:
An optimized crystal structure of PrSmAg, computed with GGA-PBE.

Cell: 6.8809 6.8809 6.8809 Å, 148.49 148.49 45.16°
Sites, in units of the cell vectors:
Pr (0.0000, 0.0000, 0.0000)
Sm (0.2959, 0.2959, 0.0000)
Ag (0.6555, 0.6555, 0.0000)

Distance to the lowest polymorph of the same formula, eV/atom: 0.010
DOS at the Fermi energy, states/eV/atom: 1.37
Energy relative to the elements, eV/atom: -0.146
Total magnetic moment, Bohr magnetons per cell: 0.573

***

Entry 5:
An optimized crystal structure of Pr2SmAg2, computed with GGA-PBE.

Cell: 3.7661 5.4250 14.0070 Å, 90.00 97.68 90.00°
Sites, in units of the cell vectors:
Pr (0.0469, 0.2500, 0.0948)
Pr (0.2349, 0.2500, 0.4682)
Pr (0.7651, 0.7500, 0.5318)
Pr (0.9531, 0.7500, 0.9052)
Sm (0.1450, 0.7500, 0.2900)
Sm (0.8550, 0.2500, 0.7100)
Ag (0.3584, 0.7500, 0.7176)
Ag (0.4509, 0.2500, 0.8997)
Ag (0.5491, 0.7500, 0.1003)
Ag (0.6416, 0.2500, 0.2824)

Distance to the lowest polymorph of the same formula, eV/atom: 0.000
DOS at the Fermi energy, states/eV/atom: 1.08
Energy relative to the elements, eV/atom: -0.180
Total magnetic moment, Bohr magnetons per cell: 0.000

***

Entry 6:
An optimized crystal structure of Pr2SmAg, computed with GGA-PBE.

Cell: 5.5566 5.5566 5.5566 Å, 60.00 60.00 60.00°
Sites, in units of the cell vectors:
Pr (0.2500, 0.2500, 0.2500)
Pr (0.7500, 0.7500, 0.7500)
Sm (0.0000, 0.0000, 0.0000)
Ag (0.5000, 0.5000, 0.5000)

Distance to the lowest polymorph of the same formula, eV/atom: 0.180
DOS at the Fermi energy, states/eV/atom: 1.49
Energy relative to the elements, eV/atom: 0.083
Total magnetic moment, Bohr magnetons per cell: 0.000

***

Entry 7:
An optimized crystal structure of PrSmAg, computed with GGA-PBE.

Cell: 7.2507 5.2128 9.3667 Å, 90.00 90.00 90.00°
Sites, in units of the cell vectors:
Pr (0.0102, 0.2500, 0.1851)
Pr (0.4898, 0.7500, 0.6851)
Pr (0.5102, 0.2500, 0.3149)
Pr (0.9898, 0.7500, 0.8149)
Sm (0.1543, 0.2500, 0.5811)
Sm (0.3457, 0.7500, 0.0811)
Sm (0.6543, 0.2500, 0.9189)
Sm (0.8457, 0.7500, 0.4189)
Ag (0.2424, 0.2500, 0.9011)
Ag (0.2576, 0.7500, 0.4011)
Ag (0.7424, 0.2500, 0.5989)
Ag (0.7576, 0.7500, 0.0989)

Distance to the lowest polymorph of the same formula, eV/atom: 0.000
DOS at the Fermi energy, states/eV/atom: 1.15
Energy relative to the elements, eV/atom: -0.156
Total magnetic moment, Bohr magnetons per cell: 0.000

***

Entry 8:
An optimized crystal structure of Pr3Sm4Ag4, computed with GGA-PBE.

Cell: 9.3738 9.3738 9.3738 Å, 148.13 131.54 59.18°
Sites, in units of the cell vectors:
Pr (0.0000, 0.0000, 0.0000)
Pr (0.3961, 0.8961, 0.5000)
Pr (0.6039, 0.1039, 0.5000)
Sm (0.0472, 0.3253, 0.7218)
Sm (0.3965, 0.6747, 0.7218)
Sm (0.6035, 0.3253, 0.2782)
Sm (0.9528, 0.6747, 0.2782)
Ag (0.1968, 0.1968, 0.0000)
Ag (0.3151, 0.5000, 0.8151)
Ag (0.6849, 0.5000, 0.1849)
Ag (0.8032, 0.8032, 0.0000)

DOS at the Fermi energy, states/eV/atom: 0.97
Energy relative to the elements, eV/atom: -0.101
Total magnetic moment, Bohr magnetons per cell: 0.000

***

Entry 9:
An optimized crystal structure of PrSmAg, computed with GGA-PBE.

Cell: 4.8104 4.8104 7.8535 Å, 90.00 90.00 90.00°
Sites, in units of the cell vectors:
Pr (0.2500, 0.2500, 0.1288)
Pr (0.7500, 0.7500, 0.8712)
Sm (0.2500, 0.7500, 0.5000)
Sm (0.7500, 0.2500, 0.5000)
Ag (0.2500, 0.2500, 0.7517)
Ag (0.7500, 0.7500, 0.2483)

Distance to the lowest polymorph of the same formula, eV/atom: 0.065
DOS at the Fermi energy, states/eV/atom: 1.53
Energy relative to the elements, eV/atom: -0.091
Total magnetic moment, Bohr magnetons per cell: 0.000

***

Entry 10:
An optimized crystal structure of PrSmAg6, computed with GGA-PBE.

Cell: 5.6323 5.6326 5.6330 Å, 97.13 96.97 96.95°
Sites, in units of the cell vectors:
Pr (0.0000, 0.0000, 0.0000)
Sm (0.5000, 0.5000, 0.5000)
Ag (0.0370, 0.4635, 0.7478)
Ag (0.2521, 0.9636, 0.5357)
Ag (0.4639, 0.7480, 0.0372)
Ag (0.5361, 0.2520, 0.9628)
Ag (0.7479, 0.0364, 0.4643)
Ag (0.9630, 0.5365, 0.2522)

DOS at the Fermi energy, states/eV/atom: 0.18
Energy relative to the elements, eV/atom: -0.224
Total magnetic moment, Bohr magnetons per cell: 0.000

***

Question: What is the formula in the ninth record?
Answer: PrSmAg

***

Question: The highest total magnetic moment belongs to which entry?
Answer: number 4

***

Question: The highest energy relative to the elements belongs to which entry?
Answer: Pr2SmAg